1.
The following is a DFT calculation (PBE) of crystalline Sr4LiTa at its relaxed geometry.

abc: 10.011 10.011 10.011
angles: 90.00 90.00 90.00
Space group F-43m (No. 216)
Inequivalent atoms, fractional coordinates:
Sr: 0.124 0.124 0.124
Li: 0.000 0.000 0.500
Ta: 0.250 0.250 0.750



2.
The following is a DFT calculation (PBE) of crystalline SrLi2Ta at its relaxed geometry.

abc: 2.873 4.934 6.488
angles: 90.00 95.23 90.00
Space group P2/m (No. 10)
Inequivalent atoms, fractional coordinates:
Sr: 0.000 0.000 0.000
Li: 0.119 0.500 0.694
Ta: 0.500 0.000 0.500

Energy above the most stable polymorph in this dataset = 0.418 eV per formula unit



3.
The following is a DFT calculation (PBE) of crystalline Sr2LiTa at its relaxed geometry.

abc: 4.910 4.910 10.777
angles: 90.00 90.00 90.00
Space group I-4m2 (No. 119)
Inequivalent atoms, fractional coordinates:
Sr: 0.000 0.000 0.000
Sr: 0.000 0.500 0.250
Li: 0.000 0.000 0.500
Ta: 0.000 0.500 0.750

Energy above the most stable polymorph in this dataset = 0.958 eV per formula unit



4.
The following is a DFT calculation (PBE) of crystalline SrLiTa2 at its relaxed geometry.

abc: 3.333 4.604 11.133
angles: 90.00 90.00 90.00
Space group Cmmm (No. 65)
Inequivalent atoms, fractional coordinates:
Sr: 0.000 0.000 0.000
Li: 0.000 0.000 0.500
Ta: 0.000 0.500 0.268

Energy above the most stable polymorph in this dataset = 1.695 eV per formula unit



5.
The following is a DFT calculation (PBE) of crystalline SrLiTa2 at its relaxed geometry.

abc: 5.476 11.571 3.040
angles: 90.00 114.50 90.00
Space group C2/m (No. 12)
Inequivalent atoms, fractional coordinates:
Sr: 0.000 0.000 0.000
Li: 0.000 0.500 0.000
Ta: 0.250 0.250 0.500

Energy above the most stable polymorph in this dataset = 1.156 eV per formula unit



6.
The following is a DFT calculation (PBE) of crystalline SrLi2Ta at its relaxed geometry.

abc: 2.930 4.515 6.893
angles: 90.00 90.00 90.00
Space group Pmmm (No. 47)
Inequivalent atoms, fractional coordinates:
Sr: 0.000 0.000 0.000
Li: 0.500 0.500 0.310
Ta: 0.000 0.000 0.500

Energy above the most stable polymorph in this dataset = 0.471 eV per formula unit



7.
The following is a DFT calculation (PBE) of crystalline SrLi2Ta at its relaxed geometry.

abc: 6.472 10.354 2.900
angles: 90.00 109.94 90.00
Space group C2/m (No. 12)
Inequivalent atoms, fractional coordinates:
Sr: 0.000 0.000 0.000
Li: 0.250 0.250 0.500
Ta: 0.000 0.500 0.000

Energy above the most stable polymorph in this dataset = 0.624 eV per formula unit



8.
The following is a DFT calculation (PBE) of crystalline SrLi2Ta at its relaxed geometry.

abc: 6.423 9.537 2.905
angles: 90.00 90.00 90.00
Space group Cmmm (No. 65)
Inequivalent atoms, fractional coordinates:
Sr: 0.000 0.000 0.000
Li: 0.250 0.250 0.500
Ta: 0.000 0.500 0.000

Energy above the most stable polymorph in this dataset = 0.773 eV per formula unit



9.
The following is a DFT calculation (PBE) of crystalline Sr2LiTa at its relaxed geometry.

abc: 3.515 3.515 9.623
angles: 90.00 90.00 90.00
Space group P4mm (No. 99)
Inequivalent atoms, fractional coordinates:
Sr: 0.000 0.000 0.000
Sr: 0.500 0.500 0.375
Li: 0.500 0.500 0.764
Ta: 0.000 0.000 0.622

Energy above the most stable polymorph in this dataset = 0.097 eV per formula unit



10.
The following is a DFT calculation (PBE) of crystalline SrLi2Ta at its relaxed geometry.

abc: 2.931 4.691 6.836
angles: 90.00 102.19 90.00
Space group Pm (No. 6)
Inequivalent atoms, fractional coordinates:
Sr: 0.000 0.000 0.000
Li: 0.237 0.000 0.485
Li: 0.351 0.500 0.704
Ta: 0.655 0.500 0.317

Energy above the most stable polymorph in this dataset = 0.460 eV per formula unit



11.
The following is a DFT calculation (PBE) of crystalline SrLi2Ta at its relaxed geometry.

abc: 3.083 5.594 5.650
angles: 90.00 90.00 90.00
Space group Pmmm (No. 47)
Inequivalent atoms, fractional coordinates:
Sr: 0.000 0.000 0.000
Li: 0.000 0.500 0.500
Li: 0.500 0.000 0.500
Ta: 0.500 0.500 0.000

Energy above the most stable polymorph in this dataset = 1.093 eV per formula unit



12.
The following is a DFT calculation (PBE) of crystalline SrLiTa2 at its relaxed geometry.

abc: 3.230 4.701 5.772
angles: 90.00 90.00 90.00
Space group Pmmm (No. 47)
Inequivalent atoms, fractional coordinates:
Sr: 0.000 0.000 0.000
Li: 0.500 0.500 0.000
Ta: 0.000 0.500 0.500
Ta: 0.500 0.000 0.500

Energy above the most stable polymorph in this dataset = 1.073 eV per formula unit



13.
The following is a DFT calculation (PBE) of crystalline SrLi2Ta at its relaxed geometry.

abc: 5.319 5.319 3.045
angles: 90.00 90.00 90.00
Space group P4/mmm (No. 123)
Inequivalent atoms, fractional coordinates:
Sr: 0.000 0.000 0.000
Li: 0.000 0.500 0.500
Ta: 0.500 0.500 0.000

Energy above the most stable polymorph in this dataset = 0.765 eV per formula unit



14.
The following is a DFT calculation (PBE) of crystalline SrLiTa2 at its relaxed geometry.

abc: 9.635 2.987 6.510
angles: 90.00 94.45 90.00
Space group Cm (No. 8)
Inequivalent atoms, fractional coordinates:
Sr: 0.000 0.000 0.000
Li: 0.259 0.500 0.283
Ta: 0.003 0.500 0.532
Ta: 0.239 0.000 0.653

Energy above the most stable polymorph in this dataset = 0.756 eV per formula unit



15.
The following is a DFT calculation (PBE) of crystalline SrLi2Ta at its relaxed geometry.

abc: 7.447 7.447 7.447
angles: 90.00 90.00 90.00
Space group F-43m (No. 216)
Inequivalent atoms, fractional coordinates:
Sr: 0.000 0.000 0.000
Li: 0.000 0.000 0.500
Li: 0.250 0.250 0.750
Ta: 0.250 0.250 0.250

Energy above the most stable polymorph in this dataset = 1.773 eV per formula unit



16.
The following is a DFT calculation (PBE) of crystalline SrLiTa2 at its relaxed geometry.

abc: 6.966 6.966 6.966
angles: 90.00 90.00 90.00
Space group Fm-3m (No. 225)
Inequivalent atoms, fractional coordinates:
Sr: 0.000 0.000 0.000
Li: 0.000 0.000 0.500
Ta: 0.250 0.250 0.250

Energy above the most stable polymorph in this dataset = 3.961 eV per formula unit



17.
The following is a DFT calculation (PBE) of crystalline SrLiTa2 at its relaxed geometry.

abc: 3.084 5.903 10.672
angles: 90.00 90.00 90.00
Space group Imm2 (No. 44)
Inequivalent atoms, fractional coordinates:
Sr: 0.000 0.000 0.000
Li: 0.000 0.500 0.226
Ta: 0.000 0.000 0.489
Ta: 0.000 0.500 0.790

Energy above the most stable polymorph in this dataset = 1.600 eV per formula unit



18.
The following is a DFT calculation (PBE) of crystalline SrLiTa2 at its relaxed geometry.

abc: 3.547 3.547 7.803
angles: 90.00 90.00 90.00
Space group P4mm (No. 99)
Inequivalent atoms, fractional coordinates:
Sr: 0.000 0.000 0.000
Li: 0.500 0.500 0.663
Ta: 0.000 0.000 0.446
Ta: 0.500 0.500 0.305

Energy above the most stable polymorph in this dataset = 0.000 eV per formula unit



19.
The following is a DFT calculation (PBE) of crystalline Sr2LiTa at its relaxed geometry.

abc: 3.413 5.865 12.130
angles: 90.00 90.00 90.00
Space group Imm2 (No. 44)
Inequivalent atoms, fractional coordinates:
Sr: 0.000 0.000 0.000
Sr: 0.000 0.500 0.207
Li: 0.000 0.000 0.445
Ta: 0.000 0.500 0.755

Energy above the most stable polymorph in this dataset = 0.396 eV per formula unit



20.
The following is a DFT calculation (PBE) of crystalline SrLi3Ta at its relaxed geometry.

abc: 4.746 4.746 4.746
angles: 90.00 90.00 90.00
Space group Pm-3m (No. 221)
Inequivalent atoms, fractional coordinates:
Sr: 0.000 0.000 0.000
Li: 0.000 0.000 0.500
Ta: 0.500 0.500 0.500

Energy above the most stable polymorph in this dataset = 2.836 eV per formula unit



21.
The following is a DFT calculation (PBE) of crystalline SrLiTa2 at its relaxed geometry.

abc: 4.003 4.003 11.206
angles: 90.00 90.00 90.00
Space group I4/mmm (No. 139)
Inequivalent atoms, fractional coordinates:
Sr: 0.000 0.000 0.000
Li: 0.000 0.000 0.500
Ta: 0.000 0.500 0.250

Energy above the most stable polymorph in this dataset = 1.586 eV per formula unit



22.
The following is a DFT calculation (PBE) of crystalline Sr2LiTa at its relaxed geometry.

abc: 6.006 6.006 3.471
angles: 90.00 90.00 90.00
Space group P4/mmm (No. 123)
Inequivalent atoms, fractional coordinates:
Sr: 0.000 0.500 0.000
Li: 0.000 0.000 0.500
Ta: 0.500 0.500 0.500

Energy above the most stable polymorph in this dataset = 0.468 eV per formula unit



23.
The following is a DFT calculation (PBE) of crystalline SrLi2Ta at its relaxed geometry.

abc: 10.398 2.907 6.223
angles: 90.00 93.90 90.00
Space group C2/m (No. 12)
Inequivalent atoms, fractional coordinates:
Sr: 0.000 0.000 0.000
Li: 0.242 0.000 0.693
Ta: 0.000 0.500 0.500

Energy above the most stable polymorph in this dataset = 0.483 eV per formula unit



24.
The following is a DFT calculation (PBE) of crystalline Sr2LiTa at its relaxed geometry.

abc: 3.405 3.405 10.541
angles: 90.00 90.00 90.00
Space group P4/mmm (No. 123)
Inequivalent atoms, fractional coordinates:
Sr: 0.000 0.000 0.230
Li: 0.500 0.500 0.500
Ta: 0.500 0.500 0.000

Energy above the most stable polymorph in this dataset = 0.000 eV per formula unit



25.
The following is a DFT calculation (PBE) of crystalline SrLi3Ta at its relaxed geometry.

abc: 5.275 5.275 5.275
angles: 90.00 90.00 90.00
Space group Pm-3m (No. 221)
Inequivalent atoms, fractional coordinates:
Sr: 0.000 0.000 0.000
Li: 0.000 0.500 0.500
Ta: 0.500 0.500 0.500

Energy above the most stable polymorph in this dataset = 0.000 eV per formula unit



26.
The following is a DFT calculation (PBE) of crystalline SrLi2Ta at its relaxed geometry.

abc: 4.253 4.253 10.162
angles: 90.00 90.00 90.00
Space group I-4m2 (No. 119)
Inequivalent atoms, fractional coordinates:
Sr: 0.000 0.000 0.000
Li: 0.000 0.000 0.500
Li: 0.000 0.500 0.250
Ta: 0.000 0.500 0.750

Energy above the most stable polymorph in this dataset = 1.462 eV per formula unit



27.
The following is a DFT calculation (PBE) of crystalline Sr2LiTa at its relaxed geometry.

abc: 3.312 5.426 6.842
angles: 90.00 90.00 90.00
Space group Pmm2 (No. 25)
Inequivalent atoms, fractional coordinates:
Sr: 0.000 0.000 0.000
Sr: 0.500 0.500 0.341
Li: 0.500 0.500 0.767
Ta: 0.000 0.000 0.524

Energy above the most stable polymorph in this dataset = 0.822 eV per formula unit



28.
The following is a DFT calculation (PBE) of crystalline SrLiTa2 at its relaxed geometry.

abc: 3.186 3.186 8.334
angles: 90.00 90.00 90.00
Space group P4/mmm (No. 123)
Inequivalent atoms, fractional coordinates:
Sr: 0.000 0.000 0.000
Li: 0.000 0.000 0.500
Ta: 0.500 0.500 0.328

Energy above the most stable polymorph in this dataset = 1.832 eV per formula unit



29.
The following is a DFT calculation (PBE) of crystalline SrLiTa4 at its relaxed geometry.

abc: 8.129 8.129 8.129
angles: 90.00 90.00 90.00
Space group F-43m (No. 216)
Inequivalent atoms, fractional coordinates:
Sr: 0.000 0.000 0.000
Li: 0.250 0.250 0.250
Ta: 0.128 0.128 0.628



30.
The following is a DFT calculation (PBE) of crystalline Sr2LiTa at its relaxed geometry.

abc: 8.107 8.107 8.107
angles: 90.00 90.00 90.00
Space group Fm-3m (No. 225)
Inequivalent atoms, fractional coordinates:
Sr: 0.250 0.250 0.250
Li: 0.000 0.000 0.000
Ta: 0.000 0.000 0.500

Energy above the most stable polymorph in this dataset = 0.759 eV per formula unit



no.,energy relative to the elements (meV/atom),spin magnetization (μB/cell),calculated volume (A^3/atom)
1,1081,21.1,41.808
2,704,0.0,22.896
3,936,7.1,32.475
4,915,0.0,21.357
5,781,0.0,21.911
6,717,0.0,22.800
7,755,0.0,22.836
8,793,0.1,22.243
9,720,0.0,29.727
10,714,0.0,22.972
11,873,0.8,24.363
12,760,0.0,21.911
13,791,0.0,21.537
14,681,0.0,23.348
15,1042,12.3,25.817
16,1482,0.0,21.131
17,892,0.0,24.282
18,492,0.0,24.540
19,795,3.0,30.355
20,1574,2.0,21.378
21,888,0.0,22.444
22,813,2.1,31.301
23,720,0.0,23.464
24,696,0.0,30.544
25,1007,4.9,29.349
26,965,1.6,22.971
27,902,1.8,30.739
28,950,0.0,21.148
29,765,0.0,22.378
30,886,15.6,33.303